No. 1
DFT (PBE) results for a geometry-optimized TbMgAl2Ga2 structure.

Results
Energy relative to the elements ... -2.10 eV/f.u.
Magnetization ... 0.00 μB/atom
Theoretical density ... 5.38 g cm⁻³

abc: 4.530 4.530 6.546
angles: 90.00 90.00 120.00
Element x y z (fractional)
1 Tb 0.000 0.000 0.000
2 Mg 0.000 0.000 0.500
3 Al 0.333 0.667 0.289
4 Al 0.667 0.333 0.711
5 Ga 0.333 0.667 0.730
6 Ga 0.667 0.333 0.270

No. 2
DFT (PBE) results for a geometry-optimized Ac3BiIrN structure.

Results
Magnetization ... 0.00 μB/atom
Energy relative to the elements, uncorrected ... -0.8287 eV/atom
Theoretical density ... 8.98 g cm⁻³

abc: 9.212 4.507 10.087
angles: 90.00 104.49 90.00
Element x y z (fractional)
1 Ac 0.054 0.250 0.351
2 Ac 0.330 0.250 0.970
3 Ac 0.392 0.750 0.655
4 Ac 0.608 0.250 0.345
5 Ac 0.670 0.750 0.030
6 Ac 0.946 0.750 0.649
7 Bi 0.296 0.750 0.263
8 Bi 0.704 0.250 0.737
9 Ir 0.165 0.250 0.646
10 Ir 0.835 0.750 0.354
11 N 0.414 0.750 0.895
12 N 0.586 0.250 0.105

No. 3
DFT (PBE) results for a geometry-optimized Ti4In2Ga structure.

Results
Energy relative to the elements ... 2.26 eV/f.u.
Magnetization ... 0.42 μB/atom
Theoretical density ... 5.45 g cm⁻³

abc: 5.461 11.204 4.890
angles: 90.00 90.00 90.00
Element x y z (fractional)
1 Ti 0.000 0.128 0.000
2 Ti 0.000 0.251 0.500
3 Ti 0.000 0.749 0.500
4 Ti 0.000 0.872 0.000
5 Ti 0.500 0.249 0.500
6 Ti 0.500 0.372 0.000
7 Ti 0.500 0.628 0.000
8 Ti 0.500 0.751 0.500
9 In 0.000 0.379 0.000
10 In 0.000 0.621 0.000
11 In 0.500 0.121 0.000
12 In 0.500 0.879 0.000
13 Ga 0.000 0.000 0.500
14 Ga 0.500 0.500 0.500